No. 1
Computed, not measured: a relaxed structure of SmHo10Th4 at the GGA-PBE level of DFT.

a = 9.644 Å, b = 9.644 Å, c = 10.736 Å
α = 90.00°, β = 90.00°, γ = 90.00°
Space group I4/m (No. 87)
Asymmetric unit:
Sm1 0.000 0.000 0.000 x2
Ho1 0.000 0.500 0.250 x4
Ho2 0.116 0.212 0.342 x16
Th1 0.065 0.339 0.000 x8

Values from the calculation:
Crystal system   tetragonal
Energy relative to the elements   0.3863 eV per atom
Density   9.1 g cm⁻³

***

No. 2
Computed, not measured: a relaxed structure of Tb3PrMg at the GGA-PBE level of DFT.

a = 8.1209 Å, b = 8.1209 Å, c = 5.8201 Å
α = 90.00°, β = 90.00°, γ = 120.00°
Space group P6_3/mmc (No. 194)
Asymmetric unit:
Tb1 0.1940 0.3880 0.2500 x6
Pr1 0.3333 0.6667 0.7500 x2
Mg1 0.0000 0.0000 0.0000 x2

Values from the calculation:
Crystal system   hexagonal
Energy relative to the elements   0.2051 eV per atom
Density   6.4 g cm⁻³

***

No. 3
Computed, not measured: a relaxed structure of MgZr2O at the GGA-PBE level of DFT.

a = 3.3066 Å, b = 3.3066 Å, c = 23.0073 Å
α = 90.00°, β = 90.00°, γ = 120.00°
Space group R3m (No. 160, hexagonal axes)
Asymmetric unit:
Mg1 0.0000 0.0000 0.0000 x3
Zr1 0.0000 0.0000 0.5554 x3
Zr2 0.0000 0.0000 0.7788 x3
O1 0.0000 0.0000 0.1678 x3

Values from the calculation:
Crystal system   trigonal
Energy relative to the elements, uncorrected   -1.1525 eV/atom
Density   5.1 g cm⁻³

***

No. 4
Computed, not measured: a relaxed structure of SmPu2UP4 at the GGA-PBE level of DFT.

a = 5.650 Å, b = 5.650 Å, c = 11.336 Å
α = 90.00°, β = 90.00°, γ = 90.00°
Space group I-4m2 (No. 119)
Asymmetric unit:
Sm1 0.000 0.000 0.000 x2
Pu1 0.000 0.000 0.500 x2
Pu2 0.000 0.500 0.250 x2
U1 0.000 0.500 0.750 x2
P1 0.000 0.000 0.253 x4
P2 0.000 0.500 0.505 x4

Values from the calculation:
Crystal system   tetragonal
Energy relative to the elements   -1.1869 eV per atom
Density   9.2 g cm⁻³

***

No. 5
Computed, not measured: a relaxed structure of MgSn3S at the GGA-PBE level of DFT.

a = 5.360 Å, b = 5.360 Å, c = 5.360 Å
α = 90.00°, β = 90.00°, γ = 90.00°
Space group Pm-3m (No. 221)
Asymmetric unit:
Mg1 0.000 0.000 0.000 x1
Sn1 0.000 0.000 0.500 x3
S1 0.500 0.500 0.500 x1

Values from the calculation:
Crystal system   cubic
Energy relative to the elements, uncorrected   0.5776 eV/atom
Density   4.4 g cm⁻³

***

No. 6
Computed, not measured: a relaxed structure of La2AlSe at the GGA-PBE level of DFT.

a = 7.446 Å, b = 7.446 Å, c = 7.446 Å
α = 90.00°, β = 90.00°, γ = 90.00°
Space group F-43m (No. 216)
Asymmetric unit:
La1 0.000 0.000 0.000 x4
La2 0.250 0.250 0.250 x4
Al1 0.000 0.000 0.500 x4
Se1 0.250 0.250 0.750 x4

Values from the calculation:
Crystal system   cubic
Energy relative to the elements, uncorrected   -0.2925 eV/atom
Density   6.2 g cm⁻³

***

No. 7
Computed, not measured: a relaxed structure of FeSnOs2 at the GGA-PBE level of DFT.

a = 5.605 Å, b = 5.605 Å, c = 11.090 Å
α = 90.00°, β = 90.00°, γ = 90.00°
Space group I-42d (No. 122)
Asymmetric unit:
Fe1 0.000 0.000 0.000 x4
Sn1 0.000 0.000 0.500 x4
Os1 0.188 0.250 0.125 x8

Values from the calculation:
Crystal system   tetragonal
Energy relative to the elements   1.2900 eV per atom
Density   10.6 g cm⁻³

***

No. 8
Computed, not measured: a relaxed structure of BaLa2IrPb at the GGA-PBE level of DFT.

a = 5.568 Å, b = 5.568 Å, c = 6.051 Å
α = 90.00°, β = 90.00°, γ = 90.00°
Space group P4/mmm (No. 123)
Asymmetric unit:
Ba1 0.000 0.000 0.000 x1
La1 0.000 0.500 0.500 x2
Ir1 0.000 0.000 0.500 x1
Pb1 0.500 0.500 0.000 x1

Values from the calculation:
Crystal system   tetragonal
Energy relative to the elements   -0.4145 eV per atom
Density   7.2 g cm⁻³

***

No. 9
Computed, not measured: a relaxed structure of Li2TePd4 at the GGA-PBE level of DFT.

a = 4.925 Å, b = 4.925 Å, c = 12.936 Å
α = 90.00°, β = 90.00°, γ = 90.00°
Space group I4/mmm (No. 139)
Asymmetric unit:
Li1 0.000 0.000 0.108 x4
Te1 0.000 0.000 0.500 x2
Pd1 0.000 0.000 0.304 x4
Pd2 0.000 0.500 0.000 x4

Values from the calculation:
Crystal system   tetragonal
Energy relative to the elements, uncorrected   0.1483 eV/atom
Density   6.0 g cm⁻³

***

No. 10
Computed, not measured: a relaxed structure of LiTmGe2Rh at the GGA-PBE level of DFT.

a = 3.992 Å, b = 3.992 Å, c = 10.861 Å
α = 90.00°, β = 90.00°, γ = 90.00°
Space group I-4m2 (No. 119)
Asymmetric unit:
Li1 0.000 0.000 0.000 x2
Tm1 0.000 0.500 0.750 x2
Ge1 0.000 0.500 0.136 x4
Rh1 0.000 0.000 0.500 x2

Values from the calculation:
Crystal system   tetragonal
Energy relative to the elements   -0.6843 eV per atom
Density   8.1 g cm⁻³